Record 1
DFT (PBE-GGA) results for a relaxed structure of TcTe2Pb.

```
8
Lattice="6.9239 0.0000 0.0000 0.0000 6.9239 0.0000 3.4619 3.4619 5.7726" Properties=species:S:1:pos:R:3 pbc="T T T"
Te 8.6549 8.1567 4.3294
Te 5.1929 5.6911 4.3294
Te 4.6947 1.7310 1.4431
Te 2.2292 5.1929 1.4431
Tc 3.4619 6.9239 2.8863
Tc 3.4619 3.4619 0.0000
Pb 0.0000 0.0000 0.0000
Pb 6.9239 3.4619 2.8863
```

## Properties
Formation energy without anion corrections (meV/atom): 259
Space-group type: I-42d
Total DFT energy (no corrections) (eV per atom): -4.83

Record 2
DFT (PBE-GGA) results for a relaxed structure of Tc2TePb.

```
4
Lattice="3.5118 -0.7753 3.0135 1.9502 3.5920 2.3042 -0.7134 0.4938 4.6111" Properties=species:S:1:pos:R:3 pbc="T T T"
Pb 2.3743 1.6553 4.9644
Tc 1.1871 0.8276 2.4822
Tc 3.5614 2.4829 7.4466
Te 0.0000 0.0000 0.0000
```

## Properties
Formation energy without anion corrections (meV/atom): 535
E above lowest polymorph (kJ per mole of atoms): 22.7
Space-group type: Fm-3m
Total DFT energy (no corrections) (eV per atom): -6.36

Record 3
DFT (PBE-GGA) results for a relaxed structure of TcTe2Pb.

```
4
Lattice="-1.4721 -5.9331 2.6225 1.7886 -6.0184 2.1969 0.7802 -0.7445 6.1261" Properties=species:S:1:pos:R:3 pbc="T T T"
Pb 0.5654 -7.2677 5.7876
Te 0.8494 -9.4651 8.4035
Te 0.3881 -11.0367 5.1847
Tc 0.1586 -3.2259 1.8618
```

## Properties
Formation energy without anion corrections (meV/atom): 150
Space-group type: Cm
Total DFT energy (no corrections) (eV per atom): -4.94

Record 4
DFT (PBE-GGA) results for a relaxed structure of TcTe2Pb.

```
4
Lattice="0.6273 -5.0544 8.8633 1.5893 -7.7024 6.5304 4.0911 -5.3120 7.7165" Properties=species:S:1:pos:R:3 pbc="T T T"
Tc 3.1538 -9.0344 11.5551
Pb 0.0000 0.0000 0.0000
Te 0.6937 -1.9870 2.5414
Te 5.6140 -16.0817 20.5687
```

## Properties
Formation energy without anion corrections (meV/atom): 31
Space-group type: R-3m
Total DFT energy (no corrections) (eV per atom): -5.06